A relaxed structure of BaCdPbAu2. Source: Alexandria, functional GGA-PBE.

Summary:
**Spin magnetization**: 0.0 μB per formula unit
**Total DFT energy (no corrections)**: -15.47 eV per formula unit

Cell: 4.6828 4.6828 7.2023 Å, 108.97 108.97 90.00°
With the nearest neighbours (Å) after each atom.
Atoms (fractional coordinates):
Ba  0.0000  0.0000  0.0000  8 Au 3.59, 4 Cd 3.96, 4 Pb 3.96
Cd  0.2500  0.7500  0.5000  4 Au 2.96, 4 Pb 3.31
Pb  0.7500  0.2500  0.5000  4 Au 2.96, 4 Cd 3.31
Au  0.6082  0.6082  0.2164  1 Au 2.77, 2 Cd 2.96, 2 Pb 2.96
Au  0.3918  0.3918  0.7836  1 Au 2.77, 2 Pb 2.96, 2 Cd 2.96

***

A relaxed structure of Ba2Cd6PdAu. Source: Alexandria, functional GGA-PBE.

Summary:
**Spin magnetization**: 0.0 μB per formula unit
**Total DFT energy (no corrections)**: -20.62 eV per formula unit

Cell: 7.5385 7.5393 7.5391 Å, 59.93 59.94 89.98°
With the nearest neighbours (Å) after each atom.
Atoms (fractional coordinates):
Ba  0.7501  0.2501  0.4998  12 Cd 3.76-3.77
Ba  0.2499  0.7499  0.5002  12 Cd 3.76-3.77
Cd  0.2466  0.2466  0.5067  1 Pd 2.62, 1 Au 2.70
Cd  0.7534  0.7535  0.9998  1 Pd 2.63, 1 Au 2.70
Cd  0.2467  0.7535  0.0000  1 Pd 2.63, 1 Au 2.70
Cd  0.7532  0.2465  0.0000  1 Pd 2.63, 1 Au 2.70
Cd  0.2466  0.2465  0.0002  1 Pd 2.63, 1 Au 2.70
Cd  0.7534  0.7534  0.4933  1 Pd 2.62, 1 Au 2.70
Pd  0.0000  0.0000  0.0000  6 Cd 2.62-2.63
Au  0.5000  0.5000  0.0000  6 Cd 2.70

***

A relaxed structure of Ba2CdPd5Au2. Source: Alexandria, functional GGA-PBE.

Summary:
**Spin magnetization**: 0.0 μB per formula unit
**Total DFT energy (no corrections)**: -41.26 eV per formula unit

Cell: 4.0172 10.4432 10.4432 Å, 90.00 90.00 90.00°
With the nearest neighbours (Å) after each atom.
Atoms (fractional coordinates):
Ba  0.0000  0.6747  0.1747  3 Au 2.96-3.17, 2 Pd 3.27
Ba  0.0000  0.3253  0.8253  3 Au 2.96-3.17, 2 Pd 3.27
Ba  0.0000  0.1747  0.3253  3 Au 2.96-3.17, 2 Pd 3.27
Ba  0.0000  0.8253  0.6747  3 Au 2.96-3.17, 2 Pd 3.27
Cd  0.0000  0.0000  0.0000  8 Pd 2.91
Cd  0.0000  0.5000  0.5000  8 Pd 2.91
Pd  0.5000  0.1943  0.0556  2 Au 2.85, 2 Cd 2.91, 2 Pd 2.99
Pd  0.5000  0.8057  0.9444  2 Au 2.85, 2 Cd 2.91, 2 Pd 2.99
Pd  0.5000  0.0556  0.8057  2 Au 2.85, 2 Cd 2.91, 2 Pd 2.99
Pd  0.5000  0.6943  0.4444  2 Au 2.85, 2 Cd 2.91, 2 Pd 2.99
Pd  0.5000  0.9444  0.1943  2 Au 2.85, 2 Cd 2.91, 2 Pd 2.99
Pd  0.5000  0.3057  0.5556  2 Au 2.85, 2 Cd 2.91, 2 Pd 2.99
Pd  0.5000  0.5556  0.6943  2 Au 2.85, 2 Cd 2.91, 2 Pd 2.99
Pd  0.5000  0.4444  0.3057  2 Au 2.85, 2 Cd 2.91, 2 Pd 2.99
Pd  0.5000  0.5000  0.0000  4 Au 2.73
Pd  0.5000  0.0000  0.5000  4 Au 2.73
Au  0.0000  0.1247  0.6247  6 Pd 2.73-2.85, 1 Ba 2.96
Au  0.0000  0.8753  0.3753  6 Pd 2.73-2.85, 1 Ba 2.96
Au  0.0000  0.6247  0.8753  6 Pd 2.73-2.85, 1 Ba 2.96
Au  0.0000  0.3753  0.1247  6 Pd 2.73-2.85, 1 Ba 2.96

***

A relaxed structure of BaPmCdAu. Source: Alexandria, functional GGA-PBE.

Summary:
**Spin magnetization**: 0.0 μB per formula unit
**Total DFT energy (no corrections)**: -12.37 eV per formula unit

Cell: 5.5678 5.5678 5.5678 Å, 60.00 60.00 60.00°
With the nearest neighbours (Å) after each atom.
Atoms (fractional coordinates):
Cd  0.5000  0.5000  0.5000  4 Ba 3.41, 4 Pm 3.41
Au  0.0000  0.0000  0.0000  4 Ba 3.41, 4 Pm 3.41
Ba  0.2500  0.2500  0.2500  4 Cd 3.41, 4 Au 3.41
Pm  0.7500  0.7500  0.7500  4 Cd 3.41, 4 Au 3.41

***

A relaxed structure of Ba2PmCdAu6. Source: Alexandria, functional GGA-PBE.

Summary:
**Spin magnetization**: 0.0 μB per formula unit
**Total DFT energy (no corrections)**: -32.25 eV per formula unit

Cell: 7.7954 7.7954 7.7954 Å, 60.00 60.00 90.00°
With the nearest neighbours (Å) after each atom.
Atoms (fractional coordinates):
Ba  0.2500  0.7500  0.5000  12 Au 3.90
Ba  0.7500  0.2500  0.5000  12 Au 3.90
Pm  0.5000  0.5000  0.0000  6 Au 2.83
Cd  0.0000  0.0000  0.0000  6 Au 2.68
Au  0.2435  0.7565  0.0000  1 Cd 2.68, 1 Pm 2.83
Au  0.7565  0.7565  0.0000  1 Cd 2.68, 1 Pm 2.83
Au  0.2435  0.2435  0.5130  1 Cd 2.68, 1 Pm 2.83
Au  0.7565  0.2435  0.0000  1 Cd 2.68, 1 Pm 2.83
Au  0.2435  0.2435  0.0000  1 Cd 2.68, 1 Pm 2.83
Au  0.7565  0.7565  0.4870  1 Cd 2.68, 1 Pm 2.83

***

A relaxed structure of BaPmCd2Au4. Source: Alexandria, functional GGA-PBE.

Summary:
**Spin magnetization**: 0.0 μB per formula unit
**Total DFT energy (no corrections)**: -26.23 eV per formula unit

Cell: 4.8881 4.8881 10.1865 Å, 76.12 76.12 60.00°
With the nearest neighbours (Å) after each atom.
Atoms (fractional coordinates):
Ba  0.0000  0.0000  0.0000  8 Au 3.40-3.52
Pm  0.5000  0.5000  0.5000  8 Au 2.99-3.14
Cd  0.7610  0.7610  0.7169  6 Au 2.92-2.95
Cd  0.2390  0.2390  0.2831  6 Au 2.92-2.95
Au  0.3982  0.3982  0.8054  3 Cd 2.95, 1 Pm 2.99, 3 Au 3.25
Au  0.8801  0.8801  0.3597  3 Cd 2.92, 3 Pm 3.14, 3 Au 3.25
Au  0.1199  0.1199  0.6403  3 Cd 2.92, 3 Pm 3.14, 3 Au 3.25
Au  0.6018  0.6018  0.1946  3 Cd 2.95, 1 Pm 2.99, 3 Au 3.25

***

A relaxed structure of BaCdPtAu2. Source: Alexandria, functional GGA-PBE.

Summary:
**Spin magnetization**: 0.0 μB per formula unit
**Total DFT energy (no corrections)**: -17.96 eV per formula unit

Cell: 4.4041 4.4816 6.9921 Å, 108.69 108.36 90.00°
With the nearest neighbours (Å) after each atom.
Atoms (fractional coordinates):
Ba  0.4340  0.4340  0.8681  4 Pt 3.37, 6 Au 3.46-3.67, 2 Cd 3.74
Cd  0.1945  0.6945  0.3889  2 Pt 2.82, 6 Au 2.88-3.14
Pt  0.8354  0.8354  0.6708  3 Au 2.68-2.82, 2 Cd 2.82
Au  0.6987  0.1987  0.3975  2 Pt 2.82, 2 Au 2.89, 4 Cd 3.14
Au  0.0495  0.0495  0.0990  1 Pt 2.68, 2 Cd 2.88, 2 Au 2.89

***

A relaxed structure of Ba2Cd12PtAu3. Source: Alexandria, functional GGA-PBE.

Summary:
**Spin magnetization**: 0.0 μB per formula unit
**Total DFT energy (no corrections)**: -33.25 eV per formula unit

Cell: 10.8323 10.8323 10.8323 Å, 40.74 40.74 40.74°
With the nearest neighbours (Å) after each atom.
Atoms (fractional coordinates):
Ba  0.6528  0.6528  0.6528  6 Cd 3.55-3.57
Ba  0.3472  0.3472  0.3472  6 Cd 3.55-3.57
Cd  0.4139  0.4139  0.8167  2 Au 2.81, 4 Cd 2.96-3.04
Cd  0.9310  0.9310  0.3457  1 Pt 2.74, 1 Au 2.92, 2 Cd 2.96
Cd  0.3457  0.9310  0.9310  1 Pt 2.74, 1 Au 2.92, 2 Cd 2.96
Cd  0.8167  0.4139  0.4139  2 Au 2.81, 4 Cd 2.96-3.04
Cd  0.9310  0.3457  0.9310  1 Pt 2.74, 1 Au 2.92, 2 Cd 2.96
Cd  0.4139  0.8167  0.4139  2 Au 2.81, 4 Cd 2.96-3.04
Cd  0.5861  0.5861  0.1833  2 Au 2.81, 4 Cd 2.96-3.04
Cd  0.0690  0.0690  0.6543  1 Pt 2.74, 1 Au 2.92, 2 Cd 2.96
Cd  0.6543  0.0690  0.0690  1 Pt 2.74, 1 Au 2.92, 2 Cd 2.96
Cd  0.1833  0.5861  0.5861  2 Au 2.81, 4 Cd 2.96-3.04
Cd  0.0690  0.6543  0.0690  1 Pt 2.74, 1 Au 2.92, 2 Cd 2.96
Cd  0.5861  0.1833  0.5861  2 Au 2.81, 4 Cd 2.96-3.04
Pt  0.0000  0.0000  0.0000  6 Cd 2.74
Au  0.5000  0.0000  0.0000  6 Cd 2.81-2.92
Au  0.0000  0.5000  0.0000  6 Cd 2.81-2.92
Au  0.0000  0.0000  0.5000  6 Cd 2.81-2.92

***

A relaxed structure of Ba2CdPtAu. Source: Alexandria, functional GGA-PBE.

Summary:
**Spin magnetization**: 0.0 μB per formula unit
**Total DFT energy (no corrections)**: -17.24 eV per formula unit
**Energy above the lowest structure with this stoichiometry**: 0 meV/atom

Cell: 4.7131 8.6458 8.2469 Å, 113.24 90.00 90.00°
With the nearest neighbours (Å) after each atom.
Atoms (fractional coordinates):
Ba  0.7500  0.8792  0.6414  3 Pt 3.24-3.36, 2 Au 3.44
Ba  0.7500  0.7093  0.0408  3 Pt 3.25-3.26, 3 Au 3.45-3.53
Ba  0.2500  0.1208  0.3586  3 Pt 3.24-3.36, 2 Au 3.44
Ba  0.2500  0.2907  0.9592  3 Pt 3.25-3.26, 3 Au 3.45-3.53
Cd  0.2500  0.5635  0.6614  1 Pt 2.85, 3 Au 3.05-3.11
Cd  0.7500  0.4365  0.3386  1 Pt 2.85, 3 Au 3.05-3.11
Pt  0.2500  0.9001  0.9191  1 Cd 2.85, 2 Pt 2.92
Pt  0.7500  0.0999  0.0809  1 Cd 2.85, 2 Pt 2.92
Au  0.2500  0.6580  0.3341  3 Cd 3.05-3.11
Au  0.7500  0.3420  0.6659  3 Cd 3.05-3.11

***

A relaxed structure of Ba2Cd3PtAu12. Source: Alexandria, functional GGA-PBE.

Summary:
**Spin magnetization**: 0.0 μB per formula unit
**Total DFT energy (no corrections)**: -53.74 eV per formula unit

Cell: 8.9485 8.9485 8.9485 Å, 60.93 60.93 60.93°
With the nearest neighbours (Å) after each atom.
Atoms (fractional coordinates):
Ba  0.6128  0.6128  0.6128  9 Au 3.35-3.69
Ba  0.3872  0.3872  0.3872  9 Au 3.35-3.69
Cd  0.5000  0.0000  0.0000  6 Au 2.81-2.88
Cd  0.0000  0.5000  0.0000  6 Au 2.81-2.88
Cd  0.0000  0.0000  0.5000  6 Au 2.81-2.88
Pt  0.0000  0.0000  0.0000  6 Au 2.61
Au  0.3543  0.3543  0.0096  2 Au 2.74, 2 Cd 2.81
Au  0.8754  0.8754  0.3525  1 Pt 2.61, 4 Au 2.74-2.92, 1 Cd 2.88
Au  0.3525  0.8754  0.8754  1 Pt 2.61, 4 Au 2.74-2.92, 1 Cd 2.88
Au  0.0096  0.3543  0.3543  2 Au 2.74, 2 Cd 2.81
Au  0.8754  0.3525  0.8754  1 Pt 2.61, 4 Au 2.74-2.92, 1 Cd 2.88
Au  0.3543  0.0096  0.3543  2 Au 2.74, 2 Cd 2.81
Au  0.6457  0.6457  0.9904  2 Au 2.74, 2 Cd 2.81
Au  0.1246  0.1246  0.6475  1 Pt 2.61, 4 Au 2.74-2.92, 1 Cd 2.88
Au  0.6475  0.1246  0.1246  1 Pt 2.61, 4 Au 2.74-2.92, 1 Cd 2.88
Au  0.9904  0.6457  0.6457  2 Au 2.74, 2 Cd 2.81
Au  0.1246  0.6475  0.1246  1 Pt 2.61, 4 Au 2.74-2.92, 1 Cd 2.88
Au  0.6457  0.9904  0.6457  2 Au 2.74, 2 Cd 2.81

***

A relaxed structure of Ba2CdPtAu. Source: Alexandria, functional GGA-PBE.

Summary:
**Spin magnetization**: 0.0 μB per formula unit
**Total DFT energy (no corrections)**: -16.42 eV per formula unit
**Energy above the lowest structure with this stoichiometry**: 163 meV/atom

Cell: 6.0467 6.0467 5.2083 Å, 90.00 90.00 90.00°
With the nearest neighbours (Å) after each atom.
Atoms (fractional coordinates):
Au  0.5000  0.5000  0.5000  8 Ba 3.99, 4 Cd 4.28
Ba  0.0000  0.5000  0.0000  2 Pt 3.02
Ba  0.5000  0.0000  0.0000  2 Pt 3.02
Pt  0.0000  0.0000  0.0000  2 Cd 2.60
Cd  0.0000  0.0000  0.5000  2 Pt 2.60

***

A relaxed structure of Ba6CdPtAu2. Source: Alexandria, functional GGA-PBE.

Summary:
**Spin magnetization**: 0.0 μB per formula unit
**Total DFT energy (no corrections)**: -30.20 eV per formula unit

Cell: 8.2842 8.2856 9.0217 Å, 62.67 62.67 59.99°
With the nearest neighbours (Å) after each atom.
Atoms (fractional coordinates):
Ba  0.5643  0.2678  0.2373  1 Pt 3.17, 2 Au 3.33, 1 Cd 3.54
Ba  0.2676  0.9308  0.2373  1 Pt 3.17, 2 Au 3.33, 1 Cd 3.54
Ba  0.9306  0.5643  0.2373  1 Pt 3.17, 2 Au 3.33, 1 Cd 3.54
Ba  0.3903  0.7349  0.7631  1 Pt 3.18, 2 Au 3.36-3.39
Ba  0.7349  0.1118  0.7630  1 Pt 3.18, 2 Au 3.36-3.39
Ba  0.1119  0.3903  0.7629  1 Pt 3.18, 2 Au 3.35-3.39
Cd  0.8335  0.8334  0.5000  6 Ba 3.54-3.61, 1 Au 3.62
Pt  0.3318  0.3318  0.0046  6 Ba 3.17-3.18
Au  0.5054  0.5055  0.4834  6 Ba 3.33-3.36
Au  0.9912  0.9911  0.0264  6 Ba 3.33-3.39, 1 Cd 3.62